Entry from the Alexandria database: a geometry-optimized Li3SiBr structure (PBE-GGA).

Total energy ... -2.657 eV per atom
M_tot ... 2.0 μB/f.u.
SG ... No. 221
V ... 25.02 Å³/atom
Raw formation energy ... -0.09 eV per atom
Mass density ... 1.71 g/cm³

Cell and atoms, written as extended XYZ:
```
5
Lattice="-2.863 3.491 -2.152 -4.080 -2.165 1.917 0.407 2.853 4.087" Properties=species:S:1:pos:R:3 pbc="T T T"
Li -1.432 1.745 -1.076
Li 0.203 1.426 2.044
Li -2.040 -1.083 0.959
Br -3.268 2.089 1.926
Si 0.000 0.000 0.000
```



Entry from the Alexandria database: a geometry-optimized LiSiBr2 structure (PBE-GGA).

Total energy ... -3.020 eV per atom
M_tot ... 0.0 μB/f.u.
SG ... No. 166
V ... 22.39 Å³/atom
Raw formation energy ... -0.35 eV per atom
Mass density ... 3.61 g/cm³

Cell and atoms, written as extended XYZ:
```
4
Lattice="8.114 -0.007 -0.004 7.304 3.534 -0.004 7.304 1.671 3.114" Properties=species:S:1:pos:R:3 pbc="T T T"
Li 5.681 1.299 0.776
Si 17.042 3.898 2.329
Br 11.670 2.669 1.595
Br 22.413 5.127 3.063
```



Entry from the Alexandria database: a geometry-optimized Li3SiBr structure (PBE-GGA).

Total energy ... -2.778 eV per atom
M_tot ... 0.0 μB/f.u.
SG ... No. 221
V ... 21.43 Å³/atom
Raw formation energy ... -0.21 eV per atom
Mass density ... 2.00 g/cm³

Cell and atoms, written as extended XYZ:
```
5
Lattice="-2.311 1.039 4.018 3.668 -1.640 2.534 1.941 4.335 -0.004" Properties=species:S:1:pos:R:3 pbc="T T T"
Li 1.834 -0.820 1.267
Li -1.156 0.519 2.009
Li 0.971 2.168 -0.002
Si 1.649 1.867 3.274
Br 0.000 0.000 0.000
```



Entry from the Alexandria database: a geometry-optimized LiTlSiBr2 structure (PBE-GGA).

Total energy ... -3.123 eV per atom
M_tot ... 0.0 μB/f.u.
SG ... No. 10
V ... 27.99 Å³/atom
Raw formation energy ... -0.51 eV per atom
Mass density ... 4.74 g/cm³

Cell and atoms, written as extended XYZ:
```
5
Lattice="4.292 0.000 -0.033 0.000 3.861 0.000 -0.684 0.000 8.453" Properties=species:S:1:pos:R:3 pbc="T T T"
Li 0.000 1.930 0.000
Br 0.225 0.000 6.886
Br 3.382 0.000 1.534
Tl 1.804 1.930 4.210
Si -0.342 0.000 4.226
```



Entry from the Alexandria database: a geometry-optimized LiTlSiBr2 structure (PBE-GGA).

Total energy ... -3.091 eV per atom
M_tot ... 0.0 μB/f.u.
SG ... No. 1
V ... 29.66 Å³/atom
Raw formation energy ... -0.48 eV per atom
Mass density ... 4.47 g/cm³

Cell and atoms, written as extended XYZ:
```
5
Lattice="3.635 0.000 -0.003 0.001 3.638 -0.002 1.676 0.551 11.213" Properties=species:S:1:pos:R:3 pbc="T T T"
Li 1.722 2.703 7.360
Br 5.123 1.437 10.762
Br 3.536 0.881 7.096
Tl 1.647 2.749 3.564
Si 3.462 0.929 1.796
```



Entry from the Alexandria database: a geometry-optimized LiTlSiBr2 structure (PBE-GGA).

Total energy ... -3.036 eV per atom
M_tot ... 0.0 μB/f.u.
SG ... No. 1
V ... 31.55 Å³/atom
Raw formation energy ... -0.43 eV per atom
Mass density ... 4.20 g/cm³

Cell and atoms, written as extended XYZ:
```
5
Lattice="4.710 0.000 0.000 0.814 5.678 0.000 0.397 1.404 5.897" Properties=species:S:1:pos:R:3 pbc="T T T"
Li 4.714 2.532 2.101
Br 2.346 3.632 2.211
Br 3.718 0.962 0.098
Si 5.283 6.486 4.192
Tl 2.920 5.417 4.796
```



Entry from the Alexandria database: a geometry-optimized LiTlSiBr2 structure (PBE-GGA).

Total energy ... -3.039 eV per atom
M_tot ... 0.0 μB/f.u.
SG ... No. 1
V ... 36.57 Å³/atom
Raw formation energy ... -0.43 eV per atom
Mass density ... 3.63 g/cm³

Cell and atoms, written as extended XYZ:
```
5
Lattice="4.751 -0.001 0.000 -2.350 5.910 -0.002 -0.005 -0.916 6.514" Properties=species:S:1:pos:R:3 pbc="T T T"
Br 1.547 1.465 4.644
Br -0.828 4.855 0.447
Li 1.547 3.774 0.345
Si 1.540 3.298 3.063
Tl -0.835 4.204 3.869
```



Entry from the Alexandria database: a geometry-optimized LiTlSiBr2 structure (PBE-GGA).

Total energy ... -2.984 eV per atom
M_tot ... 0.0 μB/f.u.
SG ... No. 1
V ... 32.82 Å³/atom
Raw formation energy ... -0.37 eV per atom
Mass density ... 4.04 g/cm³

Cell and atoms, written as extended XYZ:
```
5
Lattice="4.640 0.010 -0.008 -0.336 5.891 -0.002 -2.181 -1.189 6.007" Properties=species:S:1:pos:R:3 pbc="T T T"
Tl 3.091 2.558 1.915
Li 2.979 4.805 3.682
Br -1.730 3.741 5.987
Br 0.983 0.167 3.531
Si 0.778 1.149 1.245
```



Entry from the Alexandria database: a geometry-optimized LiTlSiBr2 structure (PBE-GGA).

Total energy ... -3.161 eV per atom
M_tot ... 0.0 μB/f.u.
SG ... No. 1
V ... 30.61 Å³/atom
Raw formation energy ... -0.55 eV per atom
Mass density ... 4.33 g/cm³

Cell and atoms, written as extended XYZ:
```
5
Lattice="4.537 0.000 0.000 2.257 3.954 0.000 0.047 0.055 8.530" Properties=species:S:1:pos:R:3 pbc="T T T"
Br 3.133 0.849 7.973
Br 3.082 3.416 5.223
Si 3.100 0.820 1.847
Tl 3.089 3.448 2.163
Li 5.339 2.071 6.062
```



Entry from the Alexandria database: a geometry-optimized LiTlSiBr2 structure (PBE-GGA).

Total energy ... -2.987 eV per atom
M_tot ... 0.0 μB/f.u.
SG ... No. 1
V ... 30.89 Å³/atom
Raw formation energy ... -0.38 eV per atom
Mass density ... 4.29 g/cm³

Cell and atoms, written as extended XYZ:
```
5
Lattice="-4.484 0.943 0.106 -0.187 -0.137 -6.507 -3.382 -4.664 -3.030" Properties=species:S:1:pos:R:3 pbc="T T T"
Li -5.722 -0.672 -7.212
Tl -5.582 -0.600 -4.197
Br -3.912 -2.840 -7.235
Br -6.438 -3.878 -3.878
Si -3.303 -1.031 -2.483
```



Entry from the Alexandria database: a geometry-optimized LiTlSiBr2 structure (PBE-GGA).

Total energy ... -2.976 eV per atom
M_tot ... 0.0 μB/f.u.
SG ... No. 8
V ... 29.49 Å³/atom
Raw formation energy ... -0.37 eV per atom
Mass density ... 4.50 g/cm³

Cell and atoms, written as extended XYZ:
```
10
Lattice="5.820 0.000 0.023 0.000 3.464 0.000 -3.758 0.000 14.611" Properties=species:S:1:pos:R:3 pbc="T T T"
Tl 0.591 1.732 10.369
Tl 2.470 0.000 3.064
Br -0.493 1.732 2.634
Br -1.044 0.000 6.378
Br -2.923 1.732 13.683
Br -2.372 0.000 9.940
Si 0.545 1.732 13.277
Si 2.424 0.000 5.972
Li 3.641 1.732 8.102
Li 5.520 0.000 0.797
```



Entry from the Alexandria database: a geometry-optimized LiTlSiBr2 structure (PBE-GGA).

Total energy ... -2.927 eV per atom
M_tot ... 0.0 μB/f.u.
SG ... No. 38
V ... 28.00 Å³/atom
Raw formation energy ... -0.32 eV per atom
Mass density ... 4.73 g/cm³

Cell and atoms, written as extended XYZ:
```
10
Lattice="4.559 0.000 0.000 0.000 3.705 0.000 0.000 0.000 16.579" Properties=species:S:1:pos:R:3 pbc="T T T"
Tl 0.000 1.853 13.856
Tl 0.000 0.000 5.566
Li 0.000 1.853 2.251
Li 0.000 0.000 10.541
Br 2.279 1.853 3.428
Br 2.279 1.853 7.369
Br 2.279 0.000 11.717
Br 2.279 0.000 15.659
Si 0.000 0.000 0.219
Si 0.000 1.853 8.508
```